DFT (PBE) results for DyAgPt after structural relaxation.

Properties
ΔH_f (0 K) ... -669 meV/atom
N(E_F) ... 0.37 states/eV per atom
Space group ... F-43m, No. 216
Energy ... -15.502 eV/cell
Polymorph energy (0 for the lowest one) ... 0.146 eV/atom

The structure in POSCAR format:
```
DyAgPt
1.0
0.000 3.290 3.290
3.290 0.000 3.290
3.290 3.290 0.000
Dy Ag Pt
1 1 1
Cartesian
0.000 0.000 0.000
3.290 3.290 3.290
4.935 4.935 4.935
```

***

DFT (PBE) results for Dy12Ag5Pt3 after structural relaxation.

Properties
ΔH_f (0 K) ... -115 meV/atom
N(E_F) ... 0.84 states/eV per atom
Space group ... Ia-3d, No. 230
Energy ... -359.602 eV/cell

The structure in POSCAR format:
```
Dy12Ag5Pt3
1.0
-8.447 8.447 8.447
8.447 -8.447 8.447
8.447 8.447 -8.447
Dy Ag Pt
48 20 12
Cartesian
2.556 -0.273 1.304
10.114 5.527 -4.497
8.173 -1.304 2.556
12.943 -1.668 2.919
11.002 0.273 1.304
10.114 -2.919 4.497
1.304 2.556 -0.273
11.366 3.950 -1.668
5.527 4.497 -1.668
7.143 2.556 0.273
-0.273 1.304 2.556
4.497 -1.668 5.527
8.173 7.143 -2.556
4.497 1.668 2.919
7.143 -2.556 8.173
5.527 -4.497 10.114
2.919 4.497 1.668
9.751 5.891 0.273
2.556 8.173 -1.304
10.114 2.919 3.950
4.497 10.114 -2.919
8.173 1.304 5.891
1.668 2.919 4.497
2.556 0.273 7.143
5.891 8.173 1.304
6.779 5.527 3.950
0.273 7.143 2.556
3.950 -1.668 11.366
-1.668 5.527 4.497
5.891 0.273 9.751
-1.304 2.556 8.173
5.527 3.950 6.779
2.919 12.943 -1.668
1.304 11.002 0.273
3.950 6.779 5.527
0.273 1.304 11.002
3.950 10.114 2.919
8.720 7.143 5.891
1.304 5.891 8.173
2.919 3.950 10.114
-2.919 4.497 10.114
7.143 5.891 8.720
-1.668 11.366 3.950
-2.556 8.173 7.143
-4.497 10.114 5.527
0.273 9.751 5.891
-1.668 2.919 12.943
5.891 8.720 7.143
0.000 0.000 0.000
4.223 4.223 -4.223
4.223 -4.223 4.223
8.447 0.000 0.000
12.670 2.112 0.000
8.447 -4.223 6.335
6.335 8.447 -4.223
6.335 0.000 4.223
4.223 6.335 0.000
8.447 4.223 2.112
-4.223 4.223 4.223
0.000 8.447 0.000
0.000 0.000 8.447
4.223 4.223 4.223
0.000 4.223 6.335
4.223 2.112 8.447
2.112 8.447 4.223
2.112 0.000 12.670
0.000 12.670 2.112
-4.223 6.335 8.447
4.223 2.112 0.000
8.447 4.223 -2.112
2.112 0.000 4.223
10.558 0.000 4.223
0.000 4.223 2.112
4.223 -2.112 8.447
4.223 10.558 0.000
8.447 4.223 6.335
-2.112 8.447 4.223
6.335 8.447 4.223
0.000 4.223 10.558
4.223 6.335 8.447
```

***

DFT (PBE) results for DyAgPt after structural relaxation.

Properties
ΔH_f (0 K) ... -689 meV/atom
N(E_F) ... 0.33 states/eV per atom
Space group ... P2_1/c, No. 14
Energy ... -62.246 eV/cell
Polymorph energy (0 for the lowest one) ... 0.126 eV/atom

The structure in POSCAR format:
```
DyAgPt
1.0
7.122 0.000 0.000
0.000 5.286 0.000
-0.765 0.000 6.520
Dy Ag Pt
4 4 4
Cartesian
1.207 0.677 3.234
0.824 1.966 6.494
5.533 3.320 0.026
5.150 4.609 3.286
2.463 3.389 4.333
2.845 4.540 1.073
3.512 0.746 5.447
3.894 1.897 2.187
0.351 3.313 2.207
-0.031 4.615 5.467
6.388 0.671 1.053
6.006 1.972 4.313
```

***

DFT (PBE) results for Dy4AgPt after structural relaxation.

Properties
ΔH_f (0 K) ... -596 meV/atom
N(E_F) ... 0.99 states/eV per atom
Space group ... F-43m, No. 216
Energy ... -123.499 eV/cell
Polymorph energy (0 for the lowest one) ... 0.000 eV/atom

The structure in POSCAR format:
```
Dy4AgPt
1.0
0.000 6.773 6.773
6.773 0.000 6.773
6.773 6.773 0.000
Dy Ag Pt
16 4 4
Cartesian
6.773 6.773 2.507
6.773 2.507 6.773
11.039 6.773 6.773
5.339 5.339 5.339
8.208 8.208 5.339
8.208 5.339 8.208
10.160 10.160 7.598
10.160 7.598 10.160
12.722 10.160 10.160
2.507 6.773 6.773
6.773 11.039 6.773
6.773 6.773 11.039
5.339 8.208 8.208
7.598 10.160 10.160
10.160 12.722 10.160
10.160 10.160 12.722
2.256 2.256 2.256
4.518 4.518 2.256
4.518 2.256 4.518
2.256 4.518 4.518
8.202 5.345 5.345
5.345 8.202 5.345
5.345 5.345 8.202
8.202 8.202 8.202
```

***

DFT (PBE) results for Dy2AgPt9 after structural relaxation.

Properties
ΔH_f (0 K) ... -658 meV/atom
N(E_F) ... 1.32 states/eV per atom
Space group ... P4/mmm, No. 123
Energy ... -74.318 eV/cell
Polymorph energy (0 for the lowest one) ... 0.000 eV/atom

The structure in POSCAR format:
```
Dy2AgPt9
1.0
4.091 0.000 0.000
0.000 4.091 0.000
0.000 0.000 12.212
Dy Ag Pt
2 1 9
Cartesian
0.000 0.000 2.081
0.000 0.000 10.132
0.000 0.000 6.106
0.000 2.045 0.000
0.000 2.045 4.142
0.000 2.045 8.070
2.045 0.000 0.000
2.045 0.000 4.142
2.045 0.000 8.070
2.045 2.045 2.069
2.045 2.045 6.106
2.045 2.045 10.143
```

***

DFT (PBE) results for Dy3AgPt8 after structural relaxation.

Properties
ΔH_f (0 K) ... -951 meV/atom
N(E_F) ... 0.71 states/eV per atom
Space group ... R3m, No. 160
Energy ... -76.393 eV/cell

The structure in POSCAR format:
```
Dy3AgPt8
1.0
2.704 1.561 8.816
-2.704 1.561 8.816
0.000 -3.122 8.816
Dy Ag Pt
3 1 8
Cartesian
0.000 0.000 0.000
0.000 0.000 3.434
0.000 0.000 16.183
0.000 0.000 13.032
-1.355 -0.782 10.379
0.000 -1.576 6.020
-1.365 0.788 6.020
0.000 0.000 8.202
1.355 -0.782 10.379
0.000 1.564 10.379
1.365 0.788 6.020
0.000 0.000 21.429
```

***

DFT (PBE) results for DyAgPt after structural relaxation.

Properties
ΔH_f (0 K) ... -164 meV/atom
N(E_F) ... 0.38 states/eV per atom
Space group ... I4mm, No. 107
Energy ... -13.986 eV/cell
Polymorph energy (0 for the lowest one) ... 0.651 eV/atom

The structure in POSCAR format:
```
DyAgPt
1.0
-1.697 1.697 7.076
1.697 -1.697 7.076
1.697 1.697 -7.076
Dy Ag Pt
1 1 1
Cartesian
0.000 0.000 0.000
0.000 0.000 11.222
0.000 0.000 8.470
```

***

DFT (PBE) results for Dy2AgPt9 after structural relaxation.

Properties
ΔH_f (0 K) ... -610 meV/atom
N(E_F) ... 0.77 states/eV per atom
Space group ... R-3m, No. 166
Energy ... -73.746 eV/cell
Polymorph energy (0 for the lowest one) ... 0.048 eV/atom

The structure in POSCAR format:
```
Dy2AgPt9
1.0
2.696 1.557 8.794
-2.696 1.557 8.794
0.000 -3.113 8.794
Dy Ag Pt
2 1 9
Cartesian
0.000 0.000 3.567
0.000 0.000 22.815
0.000 0.000 0.000
-1.367 -0.789 11.045
0.000 0.000 8.776
0.000 -1.578 15.337
-1.367 0.789 15.337
0.000 0.000 13.191
1.367 -0.789 11.045
0.000 1.578 11.045
0.000 0.000 17.606
1.367 0.789 15.337
```